1.
Entry from Alexandria via LeMat-Bulk: a geometry-optimized NbIrAu2F structure (PBE-GGA).

Cell: 4.542 4.244 4.542 Å, 90.00 90.00 90.00°
Site moments in Bohr magnetons follow the coordinates.
Fractional positions:
Ir: 0.000 0.500 0.000  -0.11
Au: 0.000 0.000 0.500  0.06
Nb: 0.500 0.500 0.500  1.29
F: 0.000 0.000 0.000  0.00
Au: 0.500 0.000 0.000  0.08

Results
raw formation energy: 387 kJ/mol of formula units


2.
Entry from Alexandria via LeMat-Bulk: a geometry-optimized Tc2OsPb structure (PBE-GGA).

Cell: 3.893 2.882 6.568 Å, 71.42 90.00 90.00°
Fractional positions:
Tc: 0.500 0.269 0.265
Tc: 0.000 0.931 0.035
Pb: 0.500 0.669 0.763
Os: 0.000 0.631 0.437

Results
ΔE_f: 0.618 eV/atom


3.
Entry from Alexandria via LeMat-Bulk: a geometry-optimized TiSnO3 structure (PBE-GGA).

Cell: 3.747 6.327 7.602 Å, 122.10 90.00 90.00°
Fractional positions:
O: 0.750 0.493 0.182
O: 0.250 0.507 0.818
O: 0.750 0.923 0.119
Sn: 0.750 0.692 0.787
O: 0.250 0.861 0.396
Ti: 0.250 0.166 0.692
Ti: 0.750 0.834 0.308
Sn: 0.250 0.308 0.213
O: 0.250 0.077 0.881
O: 0.750 0.139 0.604

Results
raw formation energy: -1116 kJ/mol of formula units


4.
Entry from Alexandria via LeMat-Bulk: a geometry-optimized YMnSe2 structure (PBE-GGA).

Cell: 6.693 6.693 3.807 Å, 89.97 89.97 32.62°
Site moments in Bohr magnetons follow the coordinates.
Fractional positions:
Se: 0.777 0.777 0.625  0.05
Y: 0.451 0.451 0.625  -0.14
Mn: 0.235 0.235 0.125  4.02
Se: 0.037 0.037 0.125  0.02

Results
raw formation energy: -421 kJ/mol of formula units


5.
Entry from Alexandria via LeMat-Bulk: a geometry-optimized Co4Cu5 structure (PBE-GGA).

Cell: 7.095 7.095 4.859 Å, 90.00 90.00 60.00°
Site moments in Bohr magnetons follow the coordinates.
Fractional positions:
Co: 0.000 0.000 0.000  1.83
Co: 0.302 0.000 0.250  1.54
Co: 0.698 0.302 0.250  1.54
Co: 0.698 0.000 0.750  1.54
Cu: 0.360 0.000 0.750  0.07
Co: 0.000 0.302 0.750  1.54
Cu: 0.640 0.360 0.750  0.07
Cu: 0.667 0.667 0.000  0.00
Cu: 0.333 0.333 0.000  0.00
Cu: 0.333 0.333 0.500  0.00
Cu: 0.667 0.667 0.500  0.00
Co: 0.000 0.698 0.250  1.54
Cu: 0.640 0.000 0.250  0.07
Co: 0.000 0.000 0.500  1.83
Cu: 0.000 0.360 0.250  0.07
Cu: 0.000 0.640 0.750  0.07
Co: 0.302 0.698 0.750  1.54
Cu: 0.360 0.640 0.250  0.07

Results
excess energy over the best structure of this formula in the dataset: 14.1 kJ per mole of atoms
ΔE_f: 0.276 eV/atom


6.
Entry from Alexandria via LeMat-Bulk: a geometry-optimized LiNp2Ge4Pt3 structure (PBE-GGA).

Cell: 4.233 4.233 10.471 Å, 90.00 90.00 90.00°
Site moments in Bohr magnetons follow the coordinates.
Fractional positions:
Ge: 0.000 0.500 0.366  -0.03
Li: 0.500 0.500 0.500  -0.01
Pt: 0.500 0.000 0.869  -0.04
Pt: 0.000 0.500 0.131  -0.04
Np: 0.500 0.000 0.254  3.80
Np: 0.000 0.500 0.746  3.80
Ge: 0.500 0.500 0.000  -0.02
Ge: 0.000 0.000 0.000  -0.02
Ge: 0.500 0.000 0.634  -0.03
Pt: 0.000 0.000 0.500  -0.03

Results
ΔE_f: -0.498 eV/atom


In order of appearance, magnetization = 0.3217; 0.0000; 0.0000; 1.0217; 0.7113; 0.7722 μB per atom.
In order of appearance, uncorrected energy = -4.669; -8.299; -7.668; -6.742; -5.158; -6.936 eV/atom.